Material: Pr6HoTl3
Method: DFT, PBE
State: optimized geometry

abc: 10.8905 16.0693 7.8730
angles: 90.00 90.00 90.00
Space group Cmc2_1 (No. 36)
One atom of each set of equivalent atoms:
Pr: 0.0000 0.0424 0.0000
Pr: 0.0000 0.2974 0.1230
Pr: 0.2257 0.3125 0.4899
Pr: 0.2326 0.4645 0.1749
Ho: 0.0000 0.1868 0.6924
Tl: 0.0000 0.4488 0.4559
Tl: 0.1460 0.1349 0.3467

**Calculated volume**: 1378 Å³ per cell
**Theoretical density**: 7.827 g/cm³
**Formation energy**: -0.10 eV per atom
**Total magnetic moment**: 0.0 Bohr magnetons per cell



Material: Pr2Ho3Tl
Method: DFT, PBE
State: optimized geometry

abc: 4.9049 15.3218 4.9597
angles: 90.00 90.00 90.00
Space group Cmmm (No. 65)
One atom of each set of equivalent atoms:
Pr: 0.0000 0.1625 0.0000
Ho: 0.0000 0.0000 0.5000
Ho: 0.0000 0.3354 0.5000
Tl: 0.0000 0.5000 0.0000

**Calculated volume**: 373 Å³ per cell
**Relative energy among the computed polymorphs**: 0.0 meV/atom
**Theoretical density**: 8.741 g/cm³
**Formation energy**: -0.09 eV per atom
**Total magnetic moment**: 0.0 Bohr magnetons per cell



Material: Pr4Ho5Tl2
Method: DFT, PBE
State: optimized geometry

abc: 4.9996 4.9996 60.3977
angles: 90.00 90.00 120.00
Space group R-3m (No. 166, hexagonal axes)
One atom of each set of equivalent atoms:
Pr: 0.0000 0.0000 0.0634
Pr: 0.0000 0.0000 0.1802
Ho: 0.0000 0.0000 0.0000
Ho: 0.0000 0.0000 0.1210
Ho: 0.0000 0.0000 0.3085
Tl: 0.0000 0.0000 0.3692

**Calculated volume**: 1307 Å³ per cell
**Theoretical density**: 6.847 g/cm³
**Formation energy**: 0.45 eV per atom
**Total magnetic moment**: 0.0 Bohr magnetons per cell



> What is the theoretical density in the third record?

6.847 g/cm³